## HoZrCu3 (PBE)

Data for a geometry-optimized HoZrCu3 structure.

a b c (Å): 3.3554 4.2277 12.7149
angles (deg): 90.00 97.58 90.00
Last column: nearest neighbours and their distance in Å.
Sites, in units of the cell vectors:
Cu 0.3779 0.2500 0.7557  3 Cu 2.47-2.52
Cu 0.5241 0.7500 0.0483  3 Cu 2.44-2.47
Ho 0.9252 0.7500 0.8503  12 Cu 2.95-3.07
Ho 0.0748 0.2500 0.1497  12 Cu 2.95-3.07
Cu 0.4759 0.2500 0.9517  3 Cu 2.44-2.47
Cu 0.6221 0.7500 0.2443  3 Cu 2.47-2.52
Cu 0.6766 0.2500 0.3533  2 Cu 2.52
Cu 0.3234 0.7500 0.6467  2 Cu 2.52
Zr 0.2109 0.7500 0.4218  7 Cu 2.80-2.84
Zr 0.7891 0.2500 0.5782  7 Cu 2.80-2.84

## Properties
DFT formation energy (meV/atom): -198
Space group: Cmcm, No. 63
Raw total energy (eV/atom): -5.28